Below is a geometry-optimized La3HgN structure, with properties calculated at the PBE level.

a = 7.173 Å, b = 7.173 Å, c = 7.211 Å
α = 119.69°, β = 119.69°, γ = 89.99°
Fractional coordinates of all 10 atoms:
Hg1 0.753 0.753 0.500
Hg2 0.247 0.247 0.500
La1 0.705 0.295 0.000
La2 0.295 0.705 0.000
La3 0.214 0.214 0.019
La4 0.759 0.241 0.500
La5 0.241 0.759 0.500
La6 0.786 0.786 0.981
N1 0.500 0.000 0.000
N2 0.000 0.500 0.000

Values from the calculation:
**Magnetization**: 0.00 μB per atom
**Symmetry**: C2/m
**Volume**: 26.48 Å³/atom
**Theoretical density**: 7.92 Mg/m³
**DFT total energy**: -5.4921 eV/atom